# BaLaTlBr6 | Alexandria via LeMat-Bulk | PBE | relaxed
data_BaLaTlBr6
_chemical_formula_sum 'Ba2 La2 Tl2 Br12'
_space_group_name_H-M_alt 'P 1'
_space_group_IT_number 1
_cell_length_a 8.133
_cell_length_b 8.133
_cell_length_c 13.758
_cell_angle_alpha 90.00
_cell_angle_beta 90.00
_cell_angle_gamma 120.00
loop_
_space_group_symop_operation_xyz
'x,y,z'
loop_
_atom_site_label
_atom_site_type_symbol
_atom_site_fract_x
_atom_site_fract_y
_atom_site_fract_z
_atom_site_occupancy
Ba1 Ba 0.333 0.667 0.250 1
Ba2 Ba 0.667 0.333 0.750 1
La1 La 0.333 0.667 0.750 1
La2 La 0.667 0.333 0.250 1
Tl1 Tl 0.000 0.000 0.000 1
Tl2 Tl 0.000 0.000 0.500 1
Br1 Br 0.027 0.371 0.629 1
Br2 Br 0.027 0.656 0.871 1
Br3 Br 0.344 0.371 0.871 1
Br4 Br 0.344 0.973 0.629 1
Br5 Br 0.371 0.027 0.129 1
Br6 Br 0.371 0.344 0.371 1
Br7 Br 0.629 0.656 0.629 1
Br8 Br 0.629 0.973 0.871 1
Br9 Br 0.656 0.027 0.371 1
Br10 Br 0.656 0.629 0.129 1
Br11 Br 0.973 0.344 0.129 1
Br12 Br 0.973 0.629 0.371 1
# Energy relative to the elements, uncorrected = -16.19 eV/f.u.
# Final energy = -3.938 eV/atom